The following is a DFT calculation (meta-GGA SCAN) of a PBEsol-optimized structure of LiNiPO4.

```
data_LiNiPO4
_cell_length_a 13.2370
_cell_length_b 13.2370
_cell_length_c 9.4270
_cell_angle_alpha 90.00
_cell_angle_beta 90.00
_cell_angle_gamma 120.00
_symmetry_space_group_name_H-M 'R 3'
_symmetry_Int_Tables_number 146
_symmetry_space_group_name_Hall 'R 3'
loop_
_atom_site_label
_atom_site_fract_x
_atom_site_fract_y
_atom_site_fract_z
Li1 0.0215 0.2160 0.0000
Li2 0.1361 0.6852 0.1626
Ni1 0.0333 0.2089 0.3373
Ni2 0.1563 0.6872 0.5090
P1 0.0040 0.2037 0.6673
P2 0.1381 0.6844 0.8342
O1 0.0171 0.3465 0.3389
O2 0.0199 0.6811 0.8423
O3 0.0607 0.1903 0.8055
O4 0.0723 0.2034 0.5346
O5 0.1105 0.8887 0.1596
O6 0.1980 0.1221 0.3038
O7 0.2056 0.7466 0.6983
O8 0.2104 0.7659 0.3284
```

## Properties
ρ	3.4	g/cm3
formation energy without anion corrections	-15.3	eV/f.u.


The following is a DFT calculation (meta-GGA SCAN) of a PBEsol-optimized structure of Li4NiP2O8.

```
data_Li4NiP2O8
_cell_length_a 8.127
_cell_length_b 10.044
_cell_length_c 8.217
_cell_angle_alpha 90.00
_cell_angle_beta 107.74
_cell_angle_gamma 90.00
_symmetry_space_group_name_H-M 'P 1 21/c 1'
_symmetry_Int_Tables_number 14
loop_
_symmetry_equiv_pos_as_xyz
'x,y,z'
'-x,-y,-z'
'-x,y+1/2,-z+1/2'
'x,-y+1/2,z+1/2'
loop_
_atom_site_label
_atom_site_fract_x
_atom_site_fract_y
_atom_site_fract_z
Li1 0.021 0.078 0.265
Li2 0.100 0.158 0.598
Li3 0.157 0.666 0.666
Li4 0.353 0.161 0.354
Ni1 0.393 0.642 0.400
P1 0.210 0.090 0.979
P2 0.275 0.591 0.040
O1 0.059 0.104 0.811
O2 0.125 0.648 0.100
O3 0.163 0.155 0.129
O4 0.230 0.052 0.475
O5 0.243 0.562 0.516
O6 0.304 0.677 0.894
O7 0.371 0.157 0.950
O8 0.445 0.598 0.193
```

## Properties
ρ	2.9	g/cm3
formation energy without anion corrections	-36.4	eV/f.u.


The following is a DFT calculation (meta-GGA SCAN) of a PBEsol-optimized structure of LiNiPO4.

```
data_LiNiPO4
_cell_length_a 10.111
_cell_length_b 6.038
_cell_length_c 4.602
_cell_angle_alpha 90.00
_cell_angle_beta 90.00
_cell_angle_gamma 90.00
_symmetry_space_group_name_H-M 'P n m a'
_symmetry_Int_Tables_number 62
loop_
_symmetry_equiv_pos_as_xyz
'x,y,z'
'-x,-y,-z'
'-x+1/2,-y,z+1/2'
'x+1/2,y,-z+1/2'
'x+1/2,-y+1/2,-z+1/2'
'-x+1/2,y+1/2,z+1/2'
'-x,y+1/2,-z'
'x,-y+1/2,z'
loop_
_atom_site_label
_atom_site_fract_x
_atom_site_fract_y
_atom_site_fract_z
Li1 0.217 0.250 0.016
Ni1 0.000 0.000 0.500
P1 0.092 0.750 0.084
O1 0.051 0.250 0.773
O2 0.086 0.750 0.747
O3 0.157 0.539 0.209
```

## Properties
ρ	3.8	g/cm3
formation energy without anion corrections	-15.6	eV/f.u.


The following is a DFT calculation (meta-GGA SCAN) of a PBEsol-optimized structure of Li4Ni3SnP4O16.

```
data_Li4Ni3SnP4O16
_cell_length_a 4.721
_cell_length_b 5.820
_cell_length_c 10.762
_cell_angle_alpha 90.00
_cell_angle_beta 94.44
_cell_angle_gamma 90.00
_symmetry_space_group_name_H-M 'P 1 m 1'
_symmetry_Int_Tables_number 6
loop_
_symmetry_equiv_pos_as_xyz
'x,y,z'
'x,-y,z'
loop_
_atom_site_label
_atom_site_fract_x
_atom_site_fract_y
_atom_site_fract_z
Li1 0.000 0.238 0.000
Li2 0.580 0.251 0.459
Ni1 0.060 0.500 0.253
Ni2 0.107 0.000 0.671
Ni3 0.544 0.000 0.207
Sn1 0.582 0.500 0.756
P1 0.014 0.500 0.543
P2 0.141 0.000 0.375
P3 0.427 0.000 0.895
P4 0.599 0.500 0.093
O1 0.272 0.209 0.306
O2 0.274 0.500 0.089
O3 0.288 0.206 0.816
O4 0.291 0.000 0.509
O5 0.308 0.000 0.026
O6 0.338 0.500 0.544
O7 0.717 0.500 0.963
O8 0.746 0.287 0.159
O9 0.749 0.000 0.903
O10 0.816 0.000 0.371
O11 0.859 0.500 0.410
O12 0.898 0.282 0.608
```

## Properties
ρ	4.0	g/cm3
formation energy without anion corrections	-61.7	eV/f.u.